*i*
The following is a DFT calculation (PBE-GGA) of a relaxed structure of YAl2W. Values from VASP.

Geometry as Quantum ESPRESSO input:
```
&SYSTEM
  ibrav = 0, nat = 4, ntyp = 3
/
ATOMIC_SPECIES
Al 26.98 Al.upf
Y 88.91 Y.upf
W 183.84 W.upf
ATOMIC_POSITIONS crystal
Al 0.250 0.250 0.250
Y 0.750 0.750 0.750
W 0.500 0.500 0.500
Al 0.000 0.000 0.000
CELL_PARAMETERS angstrom
4.709 0.000 0.000
2.354 4.078 0.000
2.354 1.359 3.845
```

Values from the calculation:
Space-group type: F-43m
Calculated density in g cm⁻³: 7.348
V in Å³ per atom: 18.46


*ii*
The following is a DFT calculation (PBE-GGA) of a relaxed structure of YAl2W. Values from VASP.

Geometry as Quantum ESPRESSO input:
```
&SYSTEM
  ibrav = 0, nat = 4, ntyp = 3
/
ATOMIC_SPECIES
W 183.84 W.upf
Al 26.98 Al.upf
Y 88.91 Y.upf
ATOMIC_POSITIONS crystal
W 0.521 0.521 0.443
Al 0.264 0.264 0.283
Al 0.977 0.977 0.988
Y 0.738 0.738 0.786
CELL_PARAMETERS angstrom
-4.764 -2.002 1.566
-4.225 -3.231 -0.934
1.233 -4.378 2.417
```

Values from the calculation:
Space-group type: Cm
Calculated density in g cm⁻³: 7.356
V in Å³ per atom: 18.44


*iii*
The following is a DFT calculation (PBE-GGA) of a relaxed structure of YAl2W. Values from VASP.

Geometry as Quantum ESPRESSO input:
```
&SYSTEM
  ibrav = 0, nat = 4, ntyp = 3
/
ATOMIC_SPECIES
W 183.84 W.upf
Y 88.91 Y.upf
Al 26.98 Al.upf
ATOMIC_POSITIONS crystal
W 0.500 0.500 0.000
Y 0.750 0.250 0.500
Al 0.250 0.750 0.500
Al 0.000 0.000 0.000
CELL_PARAMETERS angstrom
-5.011 0.288 -2.076
-0.691 -2.240 -4.900
2.193 -1.532 4.727
```

Values from the calculation:
Space-group type: I-4m2
Calculated density in g cm⁻³: 7.125
V in Å³ per atom: 19.03


Last place for stability: *i*